VASP calculation (PBE) on a relaxed Ba3Sr5 crystal.

Calculated values
* total moment: 0.0 μB/f.u.
* energy of formation from the pure elements: 0.00 eV per atom
* polymorph energy (0 for the lowest one): 0.000 eV/atom
* DOS(E_F): 20.29 states/eV per cell
* E_tot: -14.147 eV per formula unit

Cell: 9.7109 13.7117 6.8541 Å, 90.00 90.00 90.00°
Closest atoms and distances in Å follow each position.
Space group Cmmm (No. 65)
Symmetry-distinct sites (fractional):
Ba (0.0000, 0.0000, 0.0000) x2  8 Sr 4.20-4.21
Ba (0.0000, 0.2515, 0.5000) x4  8 Sr 4.18-4.22
Sr (0.0000, 0.5000, 0.0000) x2  8 Sr 4.19-4.20
Sr (0.2486, 0.5000, 0.5000) x4  6 Ba 4.18-4.22, 2 Sr 4.19
Sr (0.2500, 0.2500, 0.0000) x4  6 Ba 4.20, 2 Sr 4.20